# 1
VASP calculation (SCAN) on a crystal of CaYPb relaxed with PBEsol.

Results
The calculation puts the density of states at the Fermi level at 3.9 states/eV/cell.

Cell: 3.5331 4.4145 11.5453 Å, 90.00 90.00 90.00°
Space group Imm2 (No. 44)
Asymmetric unit:
Ca1 0.0000 0.0000 0.0000
Y1 0.0000 0.0000 0.2947
Pb1 0.0000 0.0000 0.6567

# 2
VASP calculation (SCAN) on a crystal of CaY2Pb relaxed with PBEsol.

Results
The calculation puts the density of states at the Fermi level at 8.6 states/eV/cell.

Cell: 3.7915 5.9050 11.1756 Å, 90.00 90.00 90.00°
Space group Cmmm (No. 65)
Asymmetric unit:
Ca1 0.0000 0.0000 0.0000
Y1 0.0000 0.5000 0.2722
Pb1 0.0000 0.0000 0.5000

# 3
VASP calculation (SCAN) on a crystal of CaY2Pb relaxed with PBEsol.

Results
The calculation puts the density of states at the Fermi level at 6.4 states/eV/cell.

Cell: 6.8488 9.8577 3.5154 Å, 90.00 90.00 90.00°
Space group Cmmm (No. 65)
Asymmetric unit:
Ca1 0.0000 0.0000 0.0000
Y1 0.2500 0.2500 0.5000
Pb1 0.0000 0.5000 0.0000

# 4
VASP calculation (SCAN) on a crystal of CaYPb relaxed with PBEsol.

Results
The calculation puts the density of states at the Fermi level at 3.0 states/eV/cell.

Cell: 5.2128 5.2128 3.8051 Å, 90.00 90.00 120.00°
Space group P3m1 (No. 156)
Asymmetric unit:
Ca1 0.0000 0.0000 0.0000
Y1 0.6667 0.3333 0.4517
Pb1 0.3333 0.6667 0.7056

# 5
VASP calculation (SCAN) on a crystal of CaZnPb2 relaxed with PBEsol.

Results
The calculation puts the density of states at the Fermi level at 1.8 states/eV/cell.

Cell: 3.4396 4.6309 6.6482 Å, 90.00 90.61 90.00°
Space group P2/m (No. 10)
Asymmetric unit:
Ca1 0.0000 0.0000 0.0000
Zn1 0.5000 0.0000 0.5000
Pb1 0.4893 0.5000 0.7463

# 6
VASP calculation (SCAN) on a crystal of CaZn2Pb relaxed with PBEsol.

Results
The calculation puts the density of states at the Fermi level at 3.3 states/eV/cell.

Cell: 4.6825 4.6825 7.9704 Å, 90.00 90.00 90.00°
Space group I4/mmm (No. 139)
Asymmetric unit:
Ca1 0.0000 0.0000 0.0000
Zn1 0.0000 0.5000 0.2500
Pb1 0.0000 0.0000 0.5000

# 7
VASP calculation (SCAN) on a crystal of CaZnPb2 relaxed with PBEsol.

Results
The calculation puts the density of states at the Fermi level at 1.6 states/eV/cell.

Cell: 4.7174 4.7174 4.4929 Å, 90.00 90.00 90.00°
Space group P4/mmm (No. 123)
Asymmetric unit:
Ca1 0.0000 0.0000 0.0000
Zn1 0.5000 0.5000 0.0000
Pb1 0.0000 0.5000 0.5000

# 8
VASP calculation (SCAN) on a crystal of CaZnPb2 relaxed with PBEsol.

Results
The calculation puts the density of states at the Fermi level at 3.3 states/eV/cell.

Cell: 6.5517 10.3392 3.4419 Å, 90.00 114.80 90.00°
Space group C2/m (No. 12)
Asymmetric unit:
Ca1 0.0000 0.0000 0.0000
Zn1 0.0000 0.5000 0.0000
Pb1 0.2500 0.2500 0.5000

# 9
VASP calculation (SCAN) on a crystal of CaZn2Pb relaxed with PBEsol.

Results
The calculation puts the density of states at the Fermi level at 1.3 states/eV/cell.

Cell: 3.7239 3.7239 6.5360 Å, 90.00 90.00 90.00°
Space group P4/mmm (No. 123)
Asymmetric unit:
Ca1 0.0000 0.0000 0.0000
Zn1 0.5000 0.5000 0.2668
Pb1 0.0000 0.0000 0.5000

# 10
VASP calculation (SCAN) on a crystal of CaZrPb2 relaxed with PBEsol.

Results
The calculation puts the density of states at the Fermi level at 1.6 states/eV/cell.

Cell: 3.3771 3.3771 8.7875 Å, 90.00 90.00 90.00°
Space group P4/mmm (No. 123)
Asymmetric unit:
Ca1 0.0000 0.0000 0.0000
Zr1 0.0000 0.0000 0.5000
Pb1 0.5000 0.5000 0.2630

# 11
VASP calculation (SCAN) on a crystal of CaZr3Pb relaxed with PBEsol.

Results
The calculation puts the density of states at the Fermi level at 5.6 states/eV/cell.

Cell: 4.9808 4.9808 4.9808 Å, 90.00 90.00 90.00°
Space group Pm-3m (No. 221)
Asymmetric unit:
Ca1 0.0000 0.0000 0.0000
Zr1 0.0000 0.0000 0.5000
Pb1 0.5000 0.5000 0.5000

# 12
VASP calculation (SCAN) on a crystal of Ca3Pd relaxed with PBEsol.

Results
The calculation puts the density of states at the Fermi level at 9.2 states/eV/cell.

Cell: 7.6607 9.5728 6.5176 Å, 90.00 90.00 90.00°
Space group Pnma (No. 62)
Asymmetric unit:
Ca1 0.0396 0.2500 0.1396
Ca2 0.1713 0.0654 0.6615
Pd1 0.1225 0.7500 0.4510

| no. | final energy (eV per atom) |
| --- | --- |
| 1 | -38.2124 |
| 2 | -35.4407 |
| 3 | -35.5057 |
| 4 | -38.1624 |
| 5 | -43.9348 |
| 6 | -28.2869 |
| 7 | -43.9916 |
| 8 | -43.8286 |
| 9 | -28.2333 |
| 10 | -48.4633 |
| 11 | -34.0833 |
| 12 | -15.9103 |